! CsRb2AsF6 PBEsol optimized geometry; values from VASP
! uncorrected formation energy: -2.467 eV/atom
&SYSTEM
  ibrav = 0, nat = 10, ntyp = 4
/
ATOMIC_SPECIES
Cs 132.91 Cs.upf
Rb 85.47 Rb.upf
As 74.92 As.upf
F 19.00 F.upf
CELL_PARAMETERS angstrom
0.000 4.776 4.776
4.776 0.000 4.776
4.776 4.776 0.000
ATOMIC_POSITIONS crystal
Cs 0.000 0.000 0.000
Rb 0.250 0.250 0.250
Rb 0.750 0.750 0.750
As 0.500 0.500 0.500
F 0.286 0.286 0.714
F 0.286 0.714 0.286
F 0.286 0.714 0.714
F 0.714 0.286 0.286
F 0.714 0.286 0.714
F 0.714 0.714 0.286

! SrCoIr2 PBEsol optimized geometry; values from VASP
! energy relative to the lowest polymorph listed for this composition: 337.9 meV/atom
! DFT formation energy: 0.3512 eV/atom
&SYSTEM
  ibrav = 0, nat = 4, ntyp = 3
/
ATOMIC_SPECIES
Sr 87.62 Sr.upf
Co 58.93 Co.upf
Ir 192.22 Ir.upf
CELL_PARAMETERS angstrom
2.753 0.000 0.000
0.000 3.653 0.000
0.000 0.000 6.865
ATOMIC_POSITIONS crystal
Sr 0.000 0.000 0.000
Co 0.500 0.500 0.324
Ir 0.000 0.000 0.483
Ir 0.500 0.500 0.683

! LaCd2Ir PBEsol optimized geometry; values from VASP
! DFT formation energy: -0.0412 eV/atom
&SYSTEM
  ibrav = 0, nat = 4, ntyp = 3
/
ATOMIC_SPECIES
La 138.91 La.upf
Cd 112.41 Cd.upf
Ir 192.22 Ir.upf
CELL_PARAMETERS angstrom
0.000 3.483 3.483
3.483 0.000 3.483
3.483 3.483 0.000
ATOMIC_POSITIONS crystal
La 0.000 0.000 0.000
Cd 0.250 0.250 0.250
Cd 0.750 0.750 0.750
Ir 0.500 0.500 0.500

! HgH2Au2 PBEsol optimized geometry; values from VASP
! total DFT energy (no corrections): -13.30 eV per formula unit
&SYSTEM
  ibrav = 0, nat = 5, ntyp = 3
/
ATOMIC_SPECIES
Hg 200.59 Hg.upf
H 1.01 H.upf
Au 196.97 Au.upf
CELL_PARAMETERS angstrom
-1.583 1.583 6.369
1.583 -1.583 6.369
1.583 1.583 -6.369
ATOMIC_POSITIONS crystal
Hg 0.000 0.000 0.000
H 0.250 0.750 0.500
H 0.750 0.250 0.500
Au 0.345 0.345 0.000
Au 0.655 0.655 0.000

! KY2Ir PBEsol optimized geometry; values from VASP
! energy relative to the lowest polymorph listed for this composition: 617.7 meV/atom
! DFT formation energy: 0.3430 eV/atom
&SYSTEM
  ibrav = 0, nat = 4, ntyp = 3
/
ATOMIC_SPECIES
K 39.10 K.upf
Y 88.91 Y.upf
Ir 192.22 Ir.upf
CELL_PARAMETERS angstrom
4.941 0.000 0.000
0.000 4.941 0.000
0.000 0.000 3.906
ATOMIC_POSITIONS crystal
K 0.000 0.000 0.000
Y 0.000 0.500 0.500
Y 0.500 0.000 0.500
Ir 0.500 0.500 0.000

! NaSrTi2Pb PBEsol optimized geometry; values from VASP
! DFT formation energy: 1.2274 eV/atom
&SYSTEM
  ibrav = 0, nat = 5, ntyp = 4
/
ATOMIC_SPECIES
Na 22.99 Na.upf
Sr 87.62 Sr.upf
Ti 47.87 Ti.upf
Pb 207.20 Pb.upf
CELL_PARAMETERS angstrom
5.089 0.000 0.000
0.000 5.089 0.000
0.000 0.000 5.411
ATOMIC_POSITIONS crystal
Na 0.000 0.000 0.000
Sr 0.000 0.000 0.500
Ti 0.000 0.500 0.000
Ti 0.500 0.000 0.000
Pb 0.500 0.500 0.500

! CaLa2SnO6 PBEsol optimized geometry; values from VASP
! uncorrected formation energy: -2.866 eV/atom
&SYSTEM
  ibrav = 0, nat = 10, ntyp = 4
/
ATOMIC_SPECIES
Ca 40.08 Ca.upf
La 138.91 La.upf
Sn 118.71 Sn.upf
O 16.00 O.upf
CELL_PARAMETERS angstrom
2.971 1.715 4.703
-2.971 1.715 4.703
0.000 -3.431 4.703
ATOMIC_POSITIONS crystal
Ca 0.000 0.000 0.000
La 0.266 0.266 0.266
La 0.734 0.734 0.734
Sn 0.500 0.500 0.500
O 0.155 0.371 0.712
O 0.288 0.845 0.629
O 0.371 0.712 0.155
O 0.629 0.288 0.845
O 0.712 0.155 0.371
O 0.845 0.629 0.288

! Pb5Au3 PBEsol optimized geometry; values from VASP
! energy relative to the lowest polymorph listed for this composition: 0.0 meV/atom
! DFT formation energy: -0.0255 eV/atom
&SYSTEM
  ibrav = 0, nat = 16, ntyp = 2
/
ATOMIC_SPECIES
Pb 207.20 Pb.upf
Au 196.97 Au.upf
CELL_PARAMETERS angstrom
-5.665 5.665 3.101
5.665 -5.665 3.101
5.665 5.665 -3.101
ATOMIC_POSITIONS crystal
Pb 0.079 0.788 0.867
Pb 0.212 0.079 0.292
Pb 0.250 0.750 0.500
Pb 0.288 0.579 0.867
Pb 0.421 0.288 0.708
Pb 0.579 0.712 0.292
Pb 0.712 0.421 0.133
Pb 0.750 0.250 0.500
Pb 0.788 0.921 0.708
Pb 0.921 0.212 0.133
Au 0.160 0.340 0.500
Au 0.250 0.250 0.000
Au 0.340 0.840 0.180
Au 0.660 0.160 0.820
Au 0.750 0.750 0.000
Au 0.840 0.660 0.500

Number 1: density of states at the Fermi level 0.00 states/eV/f.u.. Number 2: density of states at the Fermi level 4.97 states/eV/f.u.. Number 3: density of states at the Fermi level 4.42 states/eV/f.u.. Number 4: density of states at the Fermi level 1.26 states/eV/f.u.. Number 5: density of states at the Fermi level 5.74 states/eV/f.u.. Number 6: density of states at the Fermi level 4.94 states/eV/f.u.. Number 7: density of states at the Fermi level 0.00 states/eV/f.u.. Number 8: density of states at the Fermi level 3.20 states/eV/f.u..